Here is a relaxed structure of NiTeBr6 from Alexandria. Energies are from PBE.

Unit cell a=7.1867 b=7.1867 c=6.6592 alpha=98.81 beta=98.81 gamma=124.83
Element x y z (fractional)
Ni (0.0000, 0.0000, 0.0000)
Te (0.5000, 0.5000, 0.5000)
Br (0.0837, 0.3629, 0.2239)
Br (0.2517, 0.2517, 0.7493)
Br (0.3629, 0.0837, 0.2239)
Br (0.6371, 0.9163, 0.7761)
Br (0.7483, 0.7483, 0.2507)
Br (0.9163, 0.6371, 0.7761)

- raw total energy (eV/atom) = -2.623
- formation energy from raw total energies (eV per atom) = -0.253
- DOS(E_F) (states/eV/cell) = 5.34
- size of the total moment (μB per formula unit) = 1.44

***

Here is a relaxed structure of NiTeBr from Alexandria. Energies are from PBE.

Unit cell a=3.6139 b=3.6139 c=6.5408 alpha=90.00 beta=90.00 gamma=120.00
Element x y z (fractional)
Ni (0.0000, 0.0000, 0.0000)
Te (0.6667, 0.3333, 0.2300)
Br (0.3333, 0.6667, 0.7799)

- raw total energy (eV/atom) = -3.738
- formation energy from raw total energies (eV per atom) = -0.206
- DOS(E_F) (states/eV/cell) = 1.96
- size of the total moment (μB per formula unit) = 0.00

***

Here is a relaxed structure of Ni4TeBr from Alexandria. Energies are from PBE.

Unit cell a=5.0216 b=5.0216 c=5.0216 alpha=60.00 beta=60.00 gamma=60.00
Element x y z (fractional)
Ni (0.3762, 0.3762, 0.3762)
Ni (0.3762, 0.3762, 0.8713)
Ni (0.3762, 0.8713, 0.3762)
Ni (0.8713, 0.3762, 0.3762)
Te (0.7500, 0.7500, 0.7500)
Br (0.0000, 0.0000, 0.0000)

- raw total energy (eV/atom) = -4.168
- formation energy from raw total energies (eV per atom) = 0.489
- DOS(E_F) (states/eV/cell) = 6.69
- size of the total moment (μB per formula unit) = 0.76

***

Here is a relaxed structure of NiTe2Br from Alexandria. Energies are from PBE.

Unit cell a=6.9753 b=5.1204 c=11.6993 alpha=90.00 beta=90.00 gamma=90.00
Element x y z (fractional)
Ni (0.2500, 0.0000, 0.0843)
Ni (0.2500, 0.5000, 0.4157)
Ni (0.7500, 0.0000, 0.9157)
Ni (0.7500, 0.5000, 0.5843)
Te (0.0570, 0.2308, 0.5642)
Te (0.0570, 0.2692, 0.9358)
Te (0.4430, 0.7308, 0.9358)
Te (0.4430, 0.7692, 0.5642)
Te (0.5570, 0.2308, 0.4358)
Te (0.5570, 0.2692, 0.0642)
Te (0.9430, 0.7308, 0.0642)
Te (0.9430, 0.7692, 0.4358)
Br (0.0837, 0.2500, 0.2500)
Br (0.4163, 0.7500, 0.2500)
Br (0.5837, 0.2500, 0.7500)
Br (0.9163, 0.7500, 0.7500)

- raw total energy (eV/atom) = -3.609
- formation energy from raw total energies (eV per atom) = -0.175
- DOS(E_F) (states/eV/cell) = 8.60
- size of the total moment (μB per formula unit) = 0.00

***

Here is a relaxed structure of NiTeBr from Alexandria. Energies are from PBE.

Unit cell a=3.6085 b=5.3865 c=8.0704 alpha=90.00 beta=90.00 gamma=90.00
Element x y z (fractional)
Ni (0.2500, 0.2500, 0.1329)
Ni (0.7500, 0.7500, 0.8671)
Te (0.2500, 0.7500, 0.0872)
Te (0.7500, 0.2500, 0.9128)
Br (0.2500, 0.7500, 0.6632)
Br (0.7500, 0.2500, 0.3368)

- raw total energy (eV/atom) = -3.828
- formation energy from raw total energies (eV per atom) = -0.296
- DOS(E_F) (states/eV/cell) = 3.27
- size of the total moment (μB per formula unit) = 0.00

***

Here is a relaxed structure of NiTeBr3 from Alexandria. Energies are from PBE.

Unit cell a=4.9311 b=4.9311 c=4.9311 alpha=90.00 beta=90.00 gamma=90.00
Element x y z (fractional)
Ni (0.0000, 0.0000, 0.0000)
Te (0.5000, 0.5000, 0.5000)
Br (0.0000, 0.0000, 0.5000)
Br (0.0000, 0.5000, 0.0000)
Br (0.5000, 0.0000, 0.0000)

- raw total energy (eV/atom) = -2.656
- formation energy from raw total energies (eV per atom) = 0.132
- DOS(E_F) (states/eV/cell) = 4.45
- size of the total moment (μB per formula unit) = 0.00

***

Here is a relaxed structure of NiTe2Br from Alexandria. Energies are from PBE.

Unit cell a=6.7153 b=6.7153 c=6.7153 alpha=110.63 beta=110.63 gamma=107.18
Element x y z (fractional)
Ni (0.2500, 0.7500, 0.5000)
Ni (0.7500, 0.2500, 0.5000)
Te (0.1335, 0.6335, 0.7671)
Te (0.3665, 0.1335, 0.5000)
Te (0.6335, 0.8665, 0.5000)
Te (0.8665, 0.3665, 0.2329)
Br (0.2500, 0.2500, 0.0000)
Br (0.7500, 0.7500, 0.0000)

- raw total energy (eV/atom) = -3.327
- formation energy from raw total energies (eV per atom) = 0.107
- DOS(E_F) (states/eV/cell) = 6.65
- size of the total moment (μB per formula unit) = 0.00

***

Here is a relaxed structure of NiTe3Br from Alexandria. Energies are from PBE.

Unit cell a=9.6436 b=9.6436 c=6.7799 alpha=90.10 beta=90.10 gamma=117.69
Element x y z (fractional)
Ni (0.0553, 0.9447, 0.7500)
Ni (0.1803, 0.8197, 0.2500)
Ni (0.8197, 0.1803, 0.7500)
Ni (0.9447, 0.0553, 0.2500)
Te (0.0603, 0.7053, 0.8946)
Te (0.0662, 0.1873, 0.5955)
Te (0.1452, 0.5600, 0.4035)
Te (0.1873, 0.0662, 0.0955)
Te (0.2947, 0.9397, 0.6054)
Te (0.4400, 0.8548, 0.0965)
Te (0.5600, 0.1452, 0.9035)
Te (0.7053, 0.0603, 0.3946)
Te (0.8127, 0.9338, 0.9045)
Te (0.8548, 0.4400, 0.5965)
Te (0.9338, 0.8127, 0.4045)
Te (0.9397, 0.2947, 0.1054)
Br (0.2664, 0.4396, 0.9447)
Br (0.4396, 0.2664, 0.4447)
Br (0.5604, 0.7336, 0.5553)
Br (0.7336, 0.5604, 0.0553)

- raw total energy (eV/atom) = -3.544
- formation energy from raw total energies (eV per atom) = -0.168
- DOS(E_F) (states/eV/cell) = 6.56
- size of the total moment (μB per formula unit) = 0.00

***

Here is a relaxed structure of NiTe2Br from Alexandria. Energies are from PBE.

Unit cell a=4.9143 b=3.6030 c=7.1331 alpha=90.00 beta=107.95 gamma=90.00
Element x y z (fractional)
Ni (0.0000, 0.0000, 0.0000)
Te (0.2100, 0.5000, 0.8316)
Te (0.6219, 0.0000, 0.6745)
Br (0.9696, 0.5000, 0.2227)

- raw total energy (eV/atom) = -3.476
- formation energy from raw total energies (eV per atom) = -0.042
- DOS(E_F) (states/eV/cell) = 3.49
- size of the total moment (μB per formula unit) = 0.00

***

Here is a relaxed structure of NiTe2Br from Alexandria. Energies are from PBE.

Unit cell a=3.4356 b=4.4881 c=6.7300 alpha=90.00 beta=90.00 gamma=90.00
Element x y z (fractional)
Ni (0.0000, 0.0000, 0.0000)
Te (0.0000, 0.5000, 0.5000)
Te (0.5000, 0.5000, 0.0000)
Br (0.5000, 0.0000, 0.5000)

- raw total energy (eV/atom) = -2.917
- formation energy from raw total energies (eV per atom) = 0.517
- DOS(E_F) (states/eV/cell) = 4.54
- size of the total moment (μB per formula unit) = 0.04

***

Here is a relaxed structure of NiTe2Br from Alexandria. Energies are from PBE.

Unit cell a=3.5941 b=3.5941 c=9.4341 alpha=90.00 beta=90.00 gamma=120.00
Element x y z (fractional)
Ni (0.0000, 0.0000, 0.0000)
Te (0.0000, 0.0000, 0.2611)
Te (0.3333, 0.6667, 0.8569)
Br (0.6667, 0.3333, 0.6123)

- raw total energy (eV/atom) = -3.344
- formation energy from raw total energies (eV per atom) = 0.090
- DOS(E_F) (states/eV/cell) = 3.07
- size of the total moment (μB per formula unit) = 0.00

***

Here is a relaxed structure of Ni4Te8Br from Alexandria. Energies are from PBE.

Unit cell a=8.6217 b=8.6217 c=11.5632 alpha=123.03 beta=123.03 gamma=26.13
Element x y z (fractional)
Ni (0.1348, 0.1348, 0.4524)
Ni (0.3468, 0.3468, 0.1764)
Ni (0.6532, 0.6532, 0.8236)
Ni (0.8652, 0.8652, 0.5476)
Te (0.0364, 0.0364, 0.7762)
Te (0.2756, 0.2756, 0.9032)
Te (0.3165, 0.3165, 0.6504)
Te (0.3957, 0.3957, 0.4313)
Te (0.6043, 0.6043, 0.5687)
Te (0.6835, 0.6835, 0.3496)
Te (0.7244, 0.7244, 0.0968)
Te (0.9636, 0.9636, 0.2238)
Br (0.0000, 0.0000, 0.0000)

- raw total energy (eV/atom) = -4.046
- formation energy from raw total energies (eV per atom) = -0.205
- DOS(E_F) (states/eV/cell) = 6.46
- size of the total moment (μB per formula unit) = 0.00

***

Here is a relaxed structure of NiTe2Br from Alexandria. Energies are from PBE.

Unit cell a=4.1410 b=4.1410 c=5.6960 alpha=90.00 beta=90.00 gamma=90.00
Element x y z (fractional)
Ni (0.0000, 0.0000, 0.0000)
Te (0.0000, 0.0000, 0.5000)
Te (0.5000, 0.5000, 0.0000)
Br (0.5000, 0.5000, 0.5000)

- raw total energy (eV/atom) = -3.064
- formation energy from raw total energies (eV per atom) = 0.371
- DOS(E_F) (states/eV/cell) = 3.93
- size of the total moment (μB per formula unit) = 0.00

***

Here is a relaxed structure of NiTe2Br from Alexandria. Energies are from PBE.

Unit cell a=5.0156 b=5.0156 c=5.0156 alpha=60.00 beta=60.00 gamma=60.00
Element x y z (fractional)
Ni (0.0000, 0.0000, 0.0000)
Te (0.2500, 0.2500, 0.2500)
Te (0.7500, 0.7500, 0.7500)
Br (0.5000, 0.5000, 0.5000)

- raw total energy (eV/atom) = -2.901
- formation energy from raw total energies (eV per atom) = 0.533
- DOS(E_F) (states/eV/cell) = 2.80
- size of the total moment (μB per formula unit) = 0.00